Entry 1:
Here is AcSnGePd after structural relaxation from the Alexandria database. Energies are from PBE.

## Properties
**Crystal system**: cubic
**VASP energy**: -4.9292 eV per atom
**Magnetic moment**: 0.00 μB/atom

a = 5.1637 Å, b = 5.1637 Å, c = 5.1637 Å
α = 60.00°, β = 60.00°, γ = 60.00°
Last column: nearest neighbours and their distance in Å.
Fractional coordinates of all 4 atoms:
Ge 0.2500 0.2500 0.2500  4 Ac 3.16, 4 Sn 3.16
Ac 0.0000 0.0000 0.0000  4 Ge 3.16, 4 Pd 3.16
Pd 0.7500 0.7500 0.7500  4 Sn 3.16, 4 Ac 3.16
Sn 0.5000 0.5000 0.5000  4 Ge 3.16, 4 Pd 3.16

Entry 2:
Here is CuRh after structural relaxation from the Alexandria database. Energies are from PBE.

## Properties
**Crystal system**: hexagonal
**VASP energy**: -4.6918 eV per atom
**Magnetic moment**: 0.00 μB/atom

a = 4.1290 Å, b = 4.1290 Å, c = 4.9270 Å
α = 90.00°, β = 90.00°, γ = 120.00°
Last column: nearest neighbours and their distance in Å.
Fractional coordinates of all 4 atoms:
Rh 0.3333 0.6667 0.7500  5 Cu 2.38-2.46
Rh 0.6667 0.3333 0.2500  5 Cu 2.38-2.46
Cu 0.6667 0.3333 0.7500  5 Rh 2.38-2.46
Cu 0.3333 0.6667 0.2500  5 Rh 2.38-2.46

Entry 3:
Here is Ac3Sn2Ru2 after structural relaxation from the Alexandria database. Energies are from PBE.

## Properties
**Crystal system**: orthorhombic
**VASP energy**: -5.9683 eV per atom
**Magnetic moment**: 0.00 μB/atom

a = 4.7304 Å, b = 4.7195 Å, c = 10.0334 Å
α = 103.60°, β = 103.63°, γ = 90.00°
Last column: nearest neighbours and their distance in Å.
Fractional coordinates of all 7 atoms:
Ac 0.0000 0.0000 0.0000  4 Sn 3.49, 8 Ru 3.54
Ac 0.3248 0.8248 0.6495  2 Ru 3.19, 4 Sn 3.42
Ac 0.6752 0.1752 0.3505  2 Ru 3.19, 4 Sn 3.42
Sn 0.8642 0.3642 0.7283  2 Ru 2.75
Sn 0.1358 0.6358 0.2717  2 Ru 2.75
Ru 0.5621 0.5621 0.1243  1 Ru 2.35
Ru 0.4379 0.4379 0.8757  1 Ru 2.35

Entry 4:
Here is Tb2Y2Ga4Pd after structural relaxation from the Alexandria database. Energies are from PBE.

## Properties
**Crystal system**: tetragonal
**VASP energy**: -4.8248 eV per atom
**Magnetic moment**: 0.00 μB/atom

a = 6.5866 Å, b = 6.5866 Å, c = 6.5866 Å
α = 97.16°, β = 115.96°, γ = 115.96°
Last column: nearest neighbours and their distance in Å.
Fractional coordinates of all 9 atoms:
Tb 0.5000 0.2500 0.7500  8 Ga 3.29, 4 Y 3.53
Tb 0.5000 0.7500 0.2500  8 Ga 3.29, 4 Y 3.53
Ga 0.4982 0.7491 0.7491  1 Pd 2.48
Ga 0.5018 0.2509 0.2509  1 Pd 2.48
Ga 0.0000 0.2509 0.7491  1 Pd 2.48
Ga 0.0000 0.7491 0.2509  1 Pd 2.48
Y 0.0000 0.3070 0.3070  1 Pd 2.68, 4 Ga 2.98
Y 0.0000 0.6930 0.6930  1 Pd 2.68, 4 Ga 2.98
Pd 0.0000 0.0000 0.0000  4 Ga 2.48, 2 Y 2.68

Entry 5:
Here is DyTmCSe after structural relaxation from the Alexandria database. Energies are from PBE.

## Properties
**Raw formation energy**: -1123 meV/atom
**Crystal system**: trigonal
**Magnetic moment**: 0.00 μB/atom

a = 3.7038 Å, b = 3.7038 Å, c = 7.0090 Å
α = 90.01°, β = 105.32°, γ = 120.00°
Last column: nearest neighbours and their distance in Å.
Fractional coordinates of all 4 atoms:
Se 0.9649 0.3806 0.3604  3 Tm 2.90, 3 Dy 2.97
C 0.3065 0.5510 0.8729  3 Tm 2.50, 3 Dy 2.53
Dy 0.5041 0.1500 0.6694  3 C 2.53
Tm 0.1024 0.9492 0.0669  3 C 2.50

Entry 6:
Here is VGeP2S after structural relaxation from the Alexandria database. Energies are from PBE.

## Properties
**Raw formation energy**: 306 meV/atom
**Crystal system**: tetragonal
**Magnetic moment**: 0.00 μB/atom

a = 4.6616 Å, b = 4.6616 Å, c = 4.4098 Å
α = 90.00°, β = 90.00°, γ = 90.00°
Last column: nearest neighbours and their distance in Å.
Fractional coordinates of all 5 atoms:
Ge 0.5000 0.5000 0.5000  8 P 3.21, 4 S 3.30
S 0.0000 0.0000 0.5000  2 V 2.20
P 0.5000 0.0000 0.0000  2 V 2.33
P 0.0000 0.5000 0.0000  2 V 2.33
V 0.0000 0.0000 0.0000  2 S 2.20, 4 P 2.33

Entry 7:
Here is RbAu2Se after structural relaxation from the Alexandria database. Energies are from PBE.

## Properties
**Raw formation energy**: -343 meV/atom
**Crystal system**: tetragonal
**Magnetic moment**: 0.00 μB/atom

a = 5.5035 Å, b = 5.5035 Å, c = 9.8803 Å
α = 73.83°, β = 73.83°, γ = 90.00°
Last column: nearest neighbours and their distance in Å.
Fractional coordinates of all 8 atoms:
Se 0.5000 0.5000 0.0000  4 Au 2.65
Se 0.2500 0.7500 0.5000  4 Au 2.65
Au 0.8750 0.6243 0.7500  2 Se 2.65, 2 Au 2.75
Au 0.3743 0.1250 0.2500  2 Se 2.65, 2 Au 2.75
Au 0.3757 0.6250 0.2500  2 Se 2.65, 2 Au 2.75
Au 0.3750 0.6257 0.7500  2 Se 2.65, 2 Au 2.75
Rb 0.7500 0.2500 0.5000  8 Au 3.82-3.83, 4 Se 3.89
Rb 0.0000 0.0000 0.0000  8 Au 3.82-3.83, 4 Se 3.89

Entry 8:
Here is Sm3UTl3Te8 after structural relaxation from the Alexandria database. Energies are from PBE.

## Properties
**Raw formation energy**: -972 meV/atom
**Crystal system**: trigonal
**Magnetic moment**: 0.13 μB/atom

a = 8.9541 Å, b = 8.9537 Å, c = 9.7361 Å
α = 117.38°, β = 90.00°, γ = 120.00°
Last column: nearest neighbours and their distance in Å.
Fractional coordinates of all 15 atoms:
Te 0.7444 0.9789 0.7134  1 U 3.09, 2 Sm 3.15
Te 0.2604 0.5209 0.2813  3 Sm 3.15, 3 Tl 3.47
Te 0.2556 0.0211 0.2866  1 U 3.09, 2 Sm 3.15
Te 0.2345 0.9789 0.7134  1 U 3.09, 2 Sm 3.15
Te 0.7655 0.5310 0.2866  1 U 3.09, 2 Sm 3.15
Te 0.7655 0.0211 0.2866  1 U 3.09, 2 Sm 3.15
Te 0.2345 0.4690 0.7134  1 U 3.09, 2 Sm 3.15
Te 0.7396 0.4791 0.7187  3 Sm 3.15, 3 Tl 3.47
Sm 0.0000 0.5000 0.5000  6 Te 3.15
Sm 0.5000 0.0000 0.5000  6 Te 3.15
Sm 0.5000 0.5000 0.5000  6 Te 3.15
Tl 0.5000 0.5000 0.0000  6 Te 3.47-3.48
Tl 0.0000 0.5000 0.0000  6 Te 3.47-3.48
Tl 0.0000 0.0000 0.0000  6 Te 3.47-3.48
U 0.0000 0.0000 0.5000  6 Te 3.09

Entry 9:
Here is CoRe2Br after structural relaxation from the Alexandria database. Energies are from PBE.

## Properties
**Raw formation energy**: 709 meV/atom
**Crystal system**: orthorhombic
**Magnetic moment**: 0.07 μB/atom

a = 3.3536 Å, b = 2.8646 Å, c = 6.9016 Å
α = 89.99°, β = 90.00°, γ = 90.00°
Last column: nearest neighbours and their distance in Å.
Fractional coordinates of all 4 atoms:
Br 0.5000 0.2500 0.2500  4 Re 2.79, 2 Br 2.86
Re 0.0000 0.2499 0.9270  1 Re 2.44, 4 Co 2.52
Re 0.0000 0.2501 0.5730  1 Re 2.44, 4 Co 2.52
Co 0.5000 0.7500 0.7500  8 Re 2.52

Entry 10:
Here is InB3Ir3 after structural relaxation from the Alexandria database. Energies are from PBE.

## Properties
**Crystal system**: cubic
**VASP energy**: -6.9664 eV per atom
**Magnetic moment**: 0.00 μB/atom

a = 5.8870 Å, b = 5.8870 Å, c = 5.8870 Å
α = 90.00°, β = 90.00°, γ = 90.00°
Last column: nearest neighbours and their distance in Å.
Fractional coordinates of all 14 atoms:
In 0.0000 0.0000 0.0000  12 B 3.29, 12 Ir 3.29
In 0.5000 0.5000 0.5000  12 B 3.29, 12 Ir 3.29
B 0.7500 0.0000 0.5000  4 Ir 2.08
B 0.5000 0.7500 0.0000  4 Ir 2.08
B 0.2500 0.0000 0.5000  4 Ir 2.08
B 0.0000 0.5000 0.7500  4 Ir 2.08
B 0.5000 0.2500 0.0000  4 Ir 2.08
B 0.0000 0.5000 0.2500  4 Ir 2.08
Ir 0.5000 0.0000 0.2500  4 B 2.08
Ir 0.0000 0.7500 0.5000  4 B 2.08
Ir 0.5000 0.0000 0.7500  4 B 2.08
Ir 0.2500 0.5000 0.0000  4 B 2.08
Ir 0.7500 0.5000 0.0000  4 B 2.08
Ir 0.0000 0.2500 0.5000  4 B 2.08

Entry 11:
Here is LiUNiS3 after structural relaxation from the Alexandria database. Energies are from PBE.

## Properties
**Raw formation energy**: -1123 meV/atom
**Crystal system**: monoclinic
**Magnetic moment**: 0.18 μB/atom

a = 3.6617 Å, b = 7.5623 Å, c = 8.0162 Å
α = 101.99°, β = 90.00°, γ = 90.00°
Last column: nearest neighbours and their distance in Å.
Fractional coordinates of all 12 atoms:
U 0.2500 0.1750 0.2365  7 S 2.68-2.89
U 0.7500 0.8250 0.7635  7 S 2.68-2.89
Li 0.2500 0.6462 0.1584  6 S 2.53-2.74
Li 0.7500 0.3538 0.8416  6 S 2.53-2.74
S 0.2500 0.7769 0.4935  3 Ni 2.25-2.33
S 0.7500 0.4064 0.1634  3 Li 2.53-2.58, 2 U 2.68
S 0.7500 0.2231 0.5065  3 Ni 2.25-2.33
S 0.7500 0.9078 0.1323  1 Ni 2.23
S 0.2500 0.5936 0.8366  3 Li 2.53-2.58, 2 U 2.68
S 0.2500 0.0922 0.8677  1 Ni 2.23
Ni 0.7500 0.9097 0.4105  4 S 2.23-2.33
Ni 0.2500 0.0903 0.5895  4 S 2.23-2.33

Entry 12:
Here is Pr5ErZn6 after structural relaxation from the Alexandria database. Energies are from PBE.

## Properties
**Crystal system**: monoclinic
**VASP energy**: -3.3107 eV per atom
**Magnetic moment**: 0.00 μB/atom

a = 5.1897 Å, b = 7.3746 Å, c = 8.2703 Å
α = 90.00°, β = 71.55°, γ = 90.00°
Last column: nearest neighbours and their distance in Å.
Fractional coordinates of all 12 atoms:
Zn 0.8380 0.7569 0.3231  1 Er 3.10, 7 Pr 3.15-3.26
Zn 0.5000 0.7605 0.0000  6 Pr 3.14-3.28, 2 Er 3.14
Zn 0.1621 0.7569 0.6769  1 Er 3.10, 7 Pr 3.15-3.26
Zn 0.8379 0.2431 0.3231  1 Er 3.10, 7 Pr 3.15-3.26
Zn 0.5000 0.2395 0.0000  6 Pr 3.14-3.28, 2 Er 3.14
Zn 0.1620 0.2431 0.6769  1 Er 3.10, 7 Pr 3.15-3.26
Pr 0.6698 0.5000 0.6615  8 Zn 3.22-3.28
Pr 0.3344 0.0000 0.3304  8 Zn 3.14-3.26
Pr 0.3302 0.5000 0.3385  8 Zn 3.22-3.28
Pr 0.6656 0.0000 0.6696  8 Zn 3.14-3.26
Pr 0.0000 0.5000 0.0000  8 Zn 3.16-3.23
Er 0.0000 0.0000 0.0000  8 Zn 3.10-3.14

Entry 13:
Here is TcTeN2F after structural relaxation from the Alexandria database. Energies are from PBE.

## Properties
**Raw formation energy**: 387 meV/atom
**Crystal system**: tetragonal
**Magnetic moment**: 0.05 μB/atom

a = 3.9836 Å, b = 3.9836 Å, c = 4.1646 Å
α = 90.00°, β = 90.00°, γ = 90.00°
Last column: nearest neighbours and their distance in Å.
Fractional coordinates of all 5 atoms:
Tc 0.0000 0.0000 0.0000  4 N 1.99, 2 F 2.08
N 0.5000 0.0000 0.0000  2 Tc 1.99
N 0.0000 0.5000 0.0000  2 Tc 1.99
Te 0.5000 0.5000 0.5000  4 F 2.82, 8 N 2.88
F 0.0000 0.0000 0.5000  2 Tc 2.08